VASP calculation (GGA+U) on a relaxed structure of CoAgH2F8.

Cell lengths 4.5165, 4.8694, 6.7408 Å; angles 84.95, 90.14, 83.83 degrees
With the nearest neighbours (Å) after each atom.
Fractional coordinates of all 12 atoms:
F (0.7192, 0.7275, 0.5068)  1 Ag 1.93
F (0.7553, 0.7145, 0.0391)  1 H 1.12
F (0.2808, 0.2725, 0.4932)  1 Ag 1.93
F (0.2447, 0.2855, 0.9609)  1 H 1.12
F (0.8392, 0.1554, 0.2229)  1 Co 1.86, 1 Ag 2.05
H (0.5318, 0.7560, 0.1072)  2 F 1.12-1.19
F (0.2856, 0.7944, 0.1676)  1 H 1.19
Ag (0.0000, 0.0000, 0.5000)  4 F 1.93-2.05
F (0.1608, 0.8446, 0.7771)  1 Co 1.86, 1 Ag 2.05
H (0.4682, 0.2440, 0.8928)  2 F 1.12-1.19
Co (0.0000, 0.0000, 0.0000)  6 F 1.86-1.87
F (0.7144, 0.2056, 0.8324)  1 H 1.19

Output
Total energy, eV per atom: -3.89